# Cd2As2Pb

Cd2As2Pb after structural relaxation (PBE, Alexandria).

Output
Energy relative to the elements   0.14 eV per atom
Energy above the most stable polymorph in this dataset   102 meV per atom
Crystal system   tetragonal
DFT total energy   -2.826 eV/atom

Cell: 8.4112 8.4112 3.3517 Å, 90.00 90.00 90.00°
Last column: nearest neighbours and their distance in Å.
Space group P4/mbm (No. 127)
Asymmetric unit:
Cd1 0.1261 0.3739 0.0000  6 As 2.91-3.06, 1 Cd 3.00
As1 0.1742 0.6742 0.5000  6 Cd 2.91-3.06
Pb1 0.0000 0.0000 0.0000  4 Cd 3.32, 2 Pb 3.35, 8 As 3.53